Entry 1:
# GGA-PBE TbNdSmHo3, relaxed
data_TbNdSmHo3
_chemical_formula_sum 'Tb4 Nd4 Sm4 Ho12'
_space_group_name_H-M_alt 'C m c m'
_space_group_IT_number 63
_space_group_name_Hall '-C 2c 2'
_cell_length_a 5.052
_cell_length_b 15.166
_cell_length_c 10.112
_cell_angle_alpha 90.00
_cell_angle_beta 90.00
_cell_angle_gamma 90.00
loop_
_atom_site_label
_atom_site_fract_x
_atom_site_fract_y
_atom_site_fract_z
Tb1 0.000 0.168 0.250
Nd1 0.000 0.000 0.000
Sm1 0.000 0.500 0.250
Ho1 0.000 0.168 0.750
Ho2 0.000 0.332 0.000
# - Calculated formation energy: 20 meV/atom
# - Size of the total moment: 0.0 μB/cell
# - Crystal system: orthorhombic



Entry 2:
# GGA-PBE Nd4SmHo3Te8, relaxed
data_Nd4SmHo3Te8
_chemical_formula_sum 'Nd12 Sm3 Ho9 Te24'
_space_group_name_H-M_alt 'R -3 m'
_space_group_IT_number 166
_space_group_name_Hall '-R 3 2"'
_cell_length_a 8.7801
_cell_length_b 8.7801
_cell_length_c 22.1302
_cell_angle_alpha 90.00
_cell_angle_beta 90.00
_cell_angle_gamma 120.00
loop_
_atom_site_label
_atom_site_fract_x
_atom_site_fract_y
_atom_site_fract_z
Nd1 0.0000 0.0000 0.0000
Nd2 0.0000 0.5000 0.0000
Sm1 0.0000 0.0000 0.5000
Ho1 0.0000 0.5000 0.5000
Te1 0.0000 0.0000 0.2452
Te2 0.0045 0.5022 0.7537
# - Size of the total moment: 0.0 μB/cell
# - Crystal system: trigonal
# - Formation energy from raw total energies: -1.3509 eV per atom



Entry 3:
# GGA-PBE NdSm3Ho3Te8, relaxed
data_NdSm3Ho3Te8
_chemical_formula_sum 'Nd3 Sm9 Ho9 Te24'
_space_group_name_H-M_alt 'R -3 m'
_space_group_IT_number 166
_space_group_name_Hall '-R 3 2"'
_cell_length_a 8.7568
_cell_length_b 8.7568
_cell_length_c 21.4555
_cell_angle_alpha 90.00
_cell_angle_beta 90.00
_cell_angle_gamma 120.00
loop_
_atom_site_label
_atom_site_fract_x
_atom_site_fract_y
_atom_site_fract_z
Nd1 0.0000 0.0000 0.0000
Sm1 0.0000 0.5000 0.5000
Ho1 0.0000 0.5000 0.0000
Te1 0.0000 0.0000 0.2529
Te2 0.0171 0.5086 0.2487
# - Size of the total moment: 0.0 μB/cell
# - Crystal system: trigonal
# - Formation energy from raw total energies: -1.3949 eV per atom



Entry 4:
# GGA-PBE Nd3SmHo3Te8, relaxed
data_Nd3SmHo3Te8
_chemical_formula_sum 'Nd9 Sm3 Ho9 Te24'
_space_group_name_H-M_alt 'R -3 m'
_space_group_IT_number 166
_space_group_name_Hall '-R 3 2"'
_cell_length_a 8.7908
_cell_length_b 8.7908
_cell_length_c 21.6340
_cell_angle_alpha 90.00
_cell_angle_beta 90.00
_cell_angle_gamma 120.00
loop_
_atom_site_label
_atom_site_fract_x
_atom_site_fract_y
_atom_site_fract_z
Nd1 0.0000 0.5000 0.0000
Sm1 0.0000 0.0000 0.5000
Ho1 0.0000 0.5000 0.5000
Te1 0.0000 0.0000 0.2457
Te2 0.0146 0.5073 0.7507
# - Size of the total moment: 0.0 μB/cell
# - Crystal system: trigonal
# - Formation energy from raw total energies: -1.4055 eV per atom



Entry 5:
# GGA-PBE NdSm2HoTe5, relaxed
data_NdSm2HoTe5
_chemical_formula_sum 'Nd1 Sm2 Ho1 Te5'
_space_group_name_H-M_alt 'P 4/m m m'
_space_group_IT_number 123
_space_group_name_Hall '-P 4 2'
_cell_length_a 5.515
_cell_length_b 5.515
_cell_length_c 11.801
_cell_angle_alpha 90.00
_cell_angle_beta 90.00
_cell_angle_gamma 90.00
loop_
_atom_site_label
_atom_site_fract_x
_atom_site_fract_y
_atom_site_fract_z
Nd1 0.000 0.000 0.000
Sm1 0.500 0.500 0.347
Ho1 0.000 0.000 0.500
Te1 0.000 0.000 0.250
Te2 0.000 0.500 0.500
Te3 0.500 0.500 0.000
# - Size of the total moment: 0.6 μB/cell
# - Crystal system: tetragonal
# - Formation energy from raw total energies: -0.7881 eV per atom



Entry 6:
# GGA-PBE Nd2Sm3HoTe6, relaxed
data_Nd2Sm3HoTe6
_chemical_formula_sum 'Nd4 Sm6 Ho2 Te12'
_space_group_name_H-M_alt 'C 1 2/m 1'
_space_group_IT_number 12
_space_group_name_Hall '-C 2y'
_cell_length_a 19.357
_cell_length_b 4.418
_cell_length_c 8.941
_cell_angle_alpha 90.00
_cell_angle_beta 102.81
_cell_angle_gamma 90.00
loop_
_atom_site_label
_atom_site_fract_x
_atom_site_fract_y
_atom_site_fract_z
Nd1 0.170 0.000 0.336
Sm1 0.000 0.500 0.500
Sm2 0.172 0.000 0.834
Ho1 0.000 0.500 0.000
Te1 0.002 0.000 0.758
Te2 0.162 0.500 0.077
Te3 0.164 0.500 0.585
# - Size of the total moment: 0.0 μB/cell
# - Crystal system: monoclinic
# - Formation energy from raw total energies: -1.3742 eV per atom



Entry 7:
# GGA-PBE Nd2SmHoTe5, relaxed
data_Nd2SmHoTe5
_chemical_formula_sum 'Nd2 Sm1 Ho1 Te5'
_space_group_name_H-M_alt 'P 4/m m m'
_space_group_IT_number 123
_space_group_name_Hall '-P 4 2'
_cell_length_a 5.641
_cell_length_b 5.641
_cell_length_c 11.617
_cell_angle_alpha 90.00
_cell_angle_beta 90.00
_cell_angle_gamma 90.00
loop_
_atom_site_label
_atom_site_fract_x
_atom_site_fract_y
_atom_site_fract_z
Nd1 0.000 0.000 0.159
Sm1 0.500 0.500 0.000
Ho1 0.500 0.500 0.500
Te1 0.000 0.000 0.500
Te2 0.000 0.500 0.000
Te3 0.500 0.500 0.257
# - Size of the total moment: 0.6 μB/cell
# - Crystal system: tetragonal
# - Formation energy from raw total energies: -0.7370 eV per atom



Entry 8:
# GGA-PBE Nd4Sm3HoTe8, relaxed
data_Nd4Sm3HoTe8
_chemical_formula_sum 'Nd12 Sm9 Ho3 Te24'
_space_group_name_H-M_alt 'R -3 m'
_space_group_IT_number 166
_space_group_name_Hall '-R 3 2"'
_cell_length_a 8.8974
_cell_length_b 8.8974
_cell_length_c 21.9540
_cell_angle_alpha 90.00
_cell_angle_beta 90.00
_cell_angle_gamma 120.00
loop_
_atom_site_label
_atom_site_fract_x
_atom_site_fract_y
_atom_site_fract_z
Nd1 0.0000 0.0000 0.0000
Nd2 0.0000 0.5000 0.0000
Sm1 0.0000 0.5000 0.5000
Ho1 0.0000 0.0000 0.5000
Te1 0.0000 0.0000 0.2485
Te2 0.0046 0.5023 0.2474
# - Size of the total moment: 0.0 μB/cell
# - Crystal system: trigonal
# - Formation energy from raw total energies: -1.3819 eV per atom



Entry 9:
# GGA-PBE Nd3Sm3HoTe8, relaxed
data_Nd3Sm3HoTe8
_chemical_formula_sum 'Nd9 Sm9 Ho3 Te24'
_space_group_name_H-M_alt 'R -3 m'
_space_group_IT_number 166
_space_group_name_Hall '-R 3 2"'
_cell_length_a 8.8912
_cell_length_b 8.8912
_cell_length_c 21.8487
_cell_angle_alpha 90.00
_cell_angle_beta 90.00
_cell_angle_gamma 120.00
loop_
_atom_site_label
_atom_site_fract_x
_atom_site_fract_y
_atom_site_fract_z
Nd1 0.0000 0.5000 0.0000
Sm1 0.0000 0.5000 0.5000
Ho1 0.0000 0.0000 0.5000
Te1 0.0000 0.0000 0.2486
Te2 0.0014 0.5007 0.7510
# - Size of the total moment: 0.0 μB/cell
# - Crystal system: trigonal
# - Formation energy from raw total energies: -1.4336 eV per atom



Entry 10:
# GGA-PBE NdSmHoTh, relaxed
data_NdSmHoTh
_chemical_formula_sum 'Nd1 Sm1 Ho1 Th1'
_space_group_name_H-M_alt 'P 4 m m'
_space_group_IT_number 99
_space_group_name_Hall 'P 4 -2'
_cell_length_a 3.602
_cell_length_b 3.602
_cell_length_c 10.214
_cell_angle_alpha 90.00
_cell_angle_beta 90.00
_cell_angle_gamma 90.00
loop_
_atom_site_label
_atom_site_fract_x
_atom_site_fract_y
_atom_site_fract_z
Nd1 0.000 0.000 0.000
Sm1 0.500 0.500 0.735
Ho1 0.500 0.500 0.256
Th1 0.000 0.000 0.493
# - Calculated formation energy: 24 meV/atom
# - E above lowest polymorph: 0.000 eV per atom
# - Size of the total moment: 0.0 μB/cell
# - Crystal system: tetragonal



Entry 11:
# GGA-PBE NdSm2Ho5Th, relaxed
data_NdSm2Ho5Th
_chemical_formula_sum 'Nd4 Sm8 Ho20 Th4'
_space_group_name_H-M_alt 'C m c 21'
_space_group_IT_number 36
_space_group_name_Hall 'C 2c -2'
_cell_length_a 5.638
_cell_length_b 20.075
_cell_length_c 10.471
_cell_angle_alpha 90.00
_cell_angle_beta 90.00
_cell_angle_gamma 90.00
loop_
_atom_site_label
_atom_site_fract_x
_atom_site_fract_y
_atom_site_fract_z
Nd1 0.000 0.087 0.000
Sm1 0.000 0.385 0.281
Sm2 0.000 0.387 0.871
Ho1 0.000 0.022 0.288
Ho2 0.000 0.112 0.575
Ho3 0.000 0.202 0.261
Ho4 0.000 0.224 0.868
Ho5 0.000 0.483 0.575
Th1 0.000 0.299 0.565
# - Calculated formation energy: 164 meV/atom
# - Size of the total moment: 0.0 μB/cell
# - Crystal system: orthorhombic



Entry 12:
# GGA-PBE Nd2Sm5HoTh, relaxed
data_Nd2Sm5HoTh
_chemical_formula_sum 'Nd8 Sm20 Ho4 Th4'
_space_group_name_H-M_alt 'C m c 21'
_space_group_IT_number 36
_space_group_name_Hall 'C 2c -2'
_cell_length_a 5.695
_cell_length_b 20.557
_cell_length_c 10.575
_cell_angle_alpha 90.00
_cell_angle_beta 90.00
_cell_angle_gamma 90.00
loop_
_atom_site_label
_atom_site_fract_x
_atom_site_fract_y
_atom_site_fract_z
Nd1 0.000 0.115 0.000
Nd2 0.000 0.115 0.416
Sm1 0.000 0.015 0.703
Sm2 0.000 0.275 0.999
Sm3 0.000 0.296 0.389
Sm4 0.000 0.386 0.709
Sm5 0.000 0.481 0.427
Ho1 0.000 0.406 0.141
Th1 0.000 0.198 0.697
# - Calculated formation energy: 150 meV/atom
# - Size of the total moment: 0.0 μB/cell
# - Crystal system: orthorhombic



Entry 13:
# GGA-PBE Nd3SmHo6Th2, relaxed
data_Nd3SmHo6Th2
_chemical_formula_sum 'Nd6 Sm2 Ho12 Th4'
_space_group_name_H-M_alt 'C 1 2/m 1'
_space_group_IT_number 12
_space_group_name_Hall '-C 2y'
_cell_length_a 6.223
_cell_length_b 10.774
_cell_length_c 11.762
_cell_angle_alpha 90.00
_cell_angle_beta 100.18
_cell_angle_gamma 90.00
loop_
_atom_site_label
_atom_site_fract_x
_atom_site_fract_y
_atom_site_fract_z
Nd1 0.000 0.000 0.000
Nd2 0.000 0.334 0.000
Sm1 0.000 0.500 0.500
Ho1 0.244 0.000 0.746
Ho2 0.249 0.169 0.255
Th1 0.000 0.167 0.500
# - Calculated formation energy: 22 meV/atom
# - Size of the total moment: 0.0 μB/cell
# - Crystal system: monoclinic



Entry 14:
# GGA-PBE NdSm5HoTh2, relaxed
data_NdSm5HoTh2
_chemical_formula_sum 'Nd4 Sm20 Ho4 Th8'
_space_group_name_H-M_alt 'I 4/m c m'
_space_group_IT_number 140
_space_group_name_Hall '-I 4 2c'
_cell_length_a 8.929
_cell_length_b 8.929
_cell_length_c 15.587
_cell_angle_alpha 90.00
_cell_angle_beta 90.00
_cell_angle_gamma 90.00
loop_
_atom_site_label
_atom_site_fract_x
_atom_site_fract_y
_atom_site_fract_z
Nd1 0.000 0.000 0.250
Sm1 0.000 0.000 0.000
Sm2 0.209 0.291 0.138
Ho1 0.000 0.500 0.250
Th1 0.119 0.381 0.500
# - Calculated formation energy: 331 meV/atom
# - Size of the total moment: 0.0 μB/cell
# - Crystal system: tetragonal



Entry 15:
# GGA-PBE Nd2SmHoTh, relaxed
data_Nd2SmHoTh
_chemical_formula_sum 'Nd4 Sm2 Ho2 Th2'
_space_group_name_H-M_alt 'P 1 2/c 1'
_space_group_IT_number 13
_space_group_name_Hall '-P 2yc'
_cell_length_a 8.648
_cell_length_b 6.428
_cell_length_c 6.407
_cell_angle_alpha 90.00
_cell_angle_beta 96.53
_cell_angle_gamma 90.00
loop_
_atom_site_label
_atom_site_fract_x
_atom_site_fract_y
_atom_site_fract_z
Nd1 0.187 0.197 0.288
Sm1 0.500 0.500 0.000
Ho1 0.000 0.322 0.750
Th1 0.500 0.049 0.750
# - Calculated formation energy: 309 meV/atom
# - Size of the total moment: 0.0 μB/cell
# - Crystal system: monoclinic



Entry 16:
# GGA-PBE NdSm6Ho2Th, relaxed
data_NdSm6Ho2Th
_chemical_formula_sum 'Nd4 Sm24 Ho8 Th4'
_space_group_name_H-M_alt 'C 1 2/c 1'
_space_group_IT_number 15
_space_group_name_Hall '-C 2yc'
_cell_length_a 9.372
_cell_length_b 14.979
_cell_length_c 9.674
_cell_angle_alpha 90.00
_cell_angle_beta 97.27
_cell_angle_gamma 90.00
loop_
_atom_site_label
_atom_site_fract_x
_atom_site_fract_y
_atom_site_fract_z
Nd1 0.000 0.095 0.250
Sm1 0.065 0.326 0.441
Sm2 0.094 0.109 0.618
Sm3 0.204 0.279 0.816
Ho1 0.244 0.454 0.052
Th1 0.000 0.468 0.750
# - Calculated formation energy: 146 meV/atom
# - Size of the total moment: 0.0 μB/cell
# - Crystal system: monoclinic



Entry 17:
# GGA-PBE Nd5Sm2HoTh, relaxed
data_Nd5Sm2HoTh
_chemical_formula_sum 'Nd20 Sm8 Ho4 Th4'
_space_group_name_H-M_alt 'C m c 21'
_space_group_IT_number 36
_space_group_name_Hall 'C 2c -2'
_cell_length_a 5.691
_cell_length_b 20.752
_cell_length_c 10.640
_cell_angle_alpha 90.00
_cell_angle_beta 90.00
_cell_angle_gamma 90.00
loop_
_atom_site_label
_atom_site_fract_x
_atom_site_fract_y
_atom_site_fract_z
Nd1 0.000 0.013 0.000
Nd2 0.000 0.275 0.702
Nd3 0.000 0.292 0.311
Nd4 0.000 0.382 0.993
Nd5 0.000 0.484 0.270
Sm1 0.000 0.114 0.280
Sm2 0.000 0.115 0.708
Ho1 0.000 0.404 0.553
Th1 0.000 0.199 0.005
# - Calculated formation energy: 149 meV/atom
# - Size of the total moment: 0.0 μB/cell
# - Crystal system: orthorhombic



Entry 18:
# GGA-PBE NdSm3HoTh, relaxed
data_NdSm3HoTh
_chemical_formula_sum 'Nd2 Sm6 Ho2 Th2'
_space_group_name_H-M_alt 'P 1 21/m 1'
_space_group_IT_number 11
_space_group_name_Hall '-P 2yb'
_cell_length_a 8.084
_cell_length_b 5.113
_cell_length_c 10.227
_cell_angle_alpha 90.00
_cell_angle_beta 108.57
_cell_angle_gamma 90.00
loop_
_atom_site_label
_atom_site_fract_x
_atom_site_fract_y
_atom_site_fract_z
Nd1 0.170 0.250 0.292
Sm1 0.172 0.750 0.544
Sm2 0.178 0.750 0.044
Sm3 0.179 0.250 0.794
Ho1 0.500 0.250 0.628
Th1 0.499 0.750 0.878
# - Calculated formation energy: 30 meV/atom
# - Size of the total moment: 0.0 μB/cell
# - Crystal system: monoclinic



Entry 19:
# GGA-PBE NdSmHo2Th, relaxed
data_NdSmHo2Th
_chemical_formula_sum 'Nd2 Sm2 Ho4 Th2'
_space_group_name_H-M_alt 'P 1 2/c 1'
_space_group_IT_number 13
_space_group_name_Hall '-P 2yc'
_cell_length_a 8.643
_cell_length_b 6.494
_cell_length_c 6.350
_cell_angle_alpha 90.00
_cell_angle_beta 101.48
_cell_angle_gamma 90.00
loop_
_atom_site_label
_atom_site_fract_x
_atom_site_fract_y
_atom_site_fract_z
Nd1 0.000 0.000 0.000
Sm1 0.500 0.168 0.250
Ho1 0.314 0.326 0.688
Th1 0.000 0.452 0.250
# - Calculated formation energy: 319 meV/atom
# - Size of the total moment: 0.0 μB/cell
# - Crystal system: monoclinic